No. 1
A relaxed GeSbAu3 crystal, computed with GGA-PBE.

Values from the calculation:
formation energy from raw total energies: 0.060 eV per atom
offset from the most stable computed form: 40 meV/atom

abc: 24.6622 4.2274 4.3220
angles: 90.00 99.93 90.00
Space group C2/m (No. 12)
One atom of each set of equivalent atoms:
Ge (0.1460, 0.0000, 0.3965)
Sb (0.0502, 0.5000, 0.7885)
Au (0.0418, 0.0000, 0.2854)
Au (0.2039, 0.0000, 0.9537)
Au (0.2075, 0.5000, 0.4586)

***

No. 2
A relaxed Y2BeNbAs crystal, computed with GGA-PBE.

Values from the calculation:
energy of formation: 0.69 eV per atom

abc: 5.4121 5.4121 4.9038
angles: 90.00 90.00 90.00
Space group P4/mmm (No. 123)
One atom of each set of equivalent atoms:
Y (0.0000, 0.5000, 0.0000)
Be (0.0000, 0.0000, 0.5000)
Nb (0.5000, 0.5000, 0.0000)
As (0.5000, 0.5000, 0.5000)

***

No. 3
A relaxed Ac2Pr3Er6 crystal, computed with GGA-PBE.

Values from the calculation:
energy of formation: 0.19 eV per atom

abc: 6.2637 10.8587 11.9862
angles: 90.00 100.04 90.00
Space group C2/m (No. 12)
One atom of each set of equivalent atoms:
Ac (0.0000, 0.1668, 0.0000)
Pr (0.0000, 0.0000, 0.5000)
Pr (0.0000, 0.3353, 0.5000)
Er (0.2463, 0.5000, 0.7434)
Er (0.2481, 0.1661, 0.7435)

***

No. 4
A relaxed LaAl3Rh2 crystal, computed with GGA-PBE.

Values from the calculation:
energy of formation: -0.87 eV per atom

abc: 10.0425 7.9016 5.6323
angles: 90.00 90.00 90.00
Space group Cmcm (No. 63)
One atom of each set of equivalent atoms:
La (0.0000, 0.1482, 0.2500)
Al (0.0000, 0.4509, 0.7500)
Al (0.1884, 0.2207, 0.7500)
Rh (0.2056, 0.5000, 0.0000)

***

No. 5
A relaxed ThScGeO crystal, computed with GGA-PBE.

Values from the calculation:
formation energy from raw total energies: -1.828 eV per atom

abc: 4.2096 4.2096 8.9720
angles: 90.00 90.00 90.00
Space group P4/nmm (No. 129, origin choice 2)
One atom of each set of equivalent atoms:
Th (0.2500, 0.2500, 0.1358)
Sc (0.2500, 0.7500, 0.5000)
Ge (0.2500, 0.2500, 0.6993)
O (0.2500, 0.7500, 0.0000)

***

No. 6
A relaxed KLi2La crystal, computed with GGA-PBE.

Values from the calculation:
energy of formation: 0.26 eV per atom

abc: 13.1026 3.4431 6.3184
angles: 90.00 105.88 90.00
Space group Cm (No. 8)
One atom of each set of equivalent atoms:
K (0.0000, 0.0000, 0.0000)
Li (0.2593, 0.5000, 0.1644)
Li (0.4426, 0.0000, 0.4641)
La (0.2029, 0.0000, 0.6216)

***

Values for calculated total energy, eV per formula unit, ordered as above
-18.27 -27.94 -47.83 -36.06 -30.64 -8.82
Values for total magnetization, μB/f.u., ordered as above
0.00 0.00 0.00 0.00 0.34 0.01